Entry 1:
Compound: Sr2HfTa
Source: OQMD
Functional: PBE
Structure: relaxed

Calculated values
DFT total energy = -21.17 eV per cell

Cell: 5.4327 5.4327 5.4327 Å, 60.00 60.00 60.00°
Each line ends with the local moment (μB).
Sites, in units of the cell vectors:
Hf  0.5000  0.5000  0.5000  0.34
Sr  0.0000  0.0000  0.0000  0.04
Sr  0.7500  0.7500  0.7500  0.02
Ta  0.2500  0.2500  0.2500  0.85


Entry 2:
Compound: SrHfTa2
Source: OQMD
Functional: PBE
Structure: relaxed

Calculated values
DFT total energy = -31.83 eV per cell

Cell: 5.0223 5.0223 5.0223 Å, 60.00 60.00 60.00°
Each line ends with the local moment (μB).
Sites, in units of the cell vectors:
Hf  0.5000  0.5000  0.5000  0.19
Sr  0.7500  0.7500  0.7500  0.01
Ta  0.0000  0.0000  0.0000  -0.09
Ta  0.2500  0.2500  0.2500  0.14